(1)
A relaxed PrDy4Sc2 crystal. Source: Alexandria via LeMat-Bulk, functional PBE.

Calculated values
Magnetic moment in μB per atom: 0.00
Energy relative to the lowest polymorph listed for this composition in eV/atom: 0.093
Total energy in eV per atom: -4.980
Energy relative to the elements in eV/f.u.: 0.99

Unit cell a=5.5824 b=6.6885 c=11.6665 alpha=90.00 beta=104.42 gamma=90.00
Last column: nearest neighbours and their distance in Å.
Fractional coordinates of all 14 atoms:
Sc 0.5596 0.7500 0.0004  2 Pr 3.17-3.19, 2 Dy 3.24-3.41, 2 Sc 3.41
Sc 0.7663 0.7500 0.5649  7 Dy 3.13-3.48
Sc 0.2337 0.2500 0.4351  7 Dy 3.13-3.48
Sc 0.4404 0.2500 0.9996  2 Pr 3.17-3.19, 2 Dy 3.24-3.41, 2 Sc 3.41
Dy 0.9579 0.7500 0.8408  3 Sc 3.13-3.41, 3 Pr 3.33-3.40, 2 Dy 3.46
Dy 0.8049 0.2500 0.5721  4 Sc 3.19-3.35, 1 Pr 3.35, 4 Dy 3.51-3.54
Dy 0.6433 0.4976 0.2955  6 Dy 3.31-3.66, 1 Pr 3.44, 3 Sc 3.48-3.69
Dy 0.3567 0.9976 0.7045  6 Dy 3.31-3.66, 1 Pr 3.44, 3 Sc 3.48-3.69
Dy 0.3567 0.5024 0.7045  6 Dy 3.31-3.66, 1 Pr 3.44, 3 Sc 3.48-3.69
Dy 0.6433 0.0024 0.2955  6 Dy 3.31-3.66, 1 Pr 3.44, 3 Sc 3.48-3.69
Dy 0.0421 0.2500 0.1592  3 Sc 3.13-3.41, 3 Pr 3.33-3.40, 2 Dy 3.46
Dy 0.1951 0.7500 0.4279  4 Sc 3.19-3.35, 1 Pr 3.35, 4 Dy 3.51-3.54
Pr 0.1325 0.7500 0.1350  2 Sc 3.17-3.19, 6 Dy 3.33-3.44
Pr 0.8675 0.2500 0.8650  2 Sc 3.17-3.19, 6 Dy 3.33-3.44

(2)
A relaxed Pr8Dy2Sc3 crystal. Source: Alexandria via LeMat-Bulk, functional PBE.

Calculated values
Magnetic moment in μB per atom: 0.00
Energy relative to the lowest polymorph listed for this composition in eV/atom: 0.000
Total energy in eV per atom: -4.933
Energy relative to the elements in eV/f.u.: 2.31

Unit cell a=6.0263 b=8.8558 c=8.8558 alpha=81.19 beta=73.00 gamma=73.00
Last column: nearest neighbours and their distance in Å.
Fractional coordinates of all 13 atoms:
Pr 0.6454 0.0799 0.6114  3 Sc 3.31-3.66, 2 Pr 3.34-3.65, 1 Dy 3.43
Pr 0.3546 0.3886 0.9201  3 Sc 3.31-3.66, 2 Pr 3.34-3.65, 1 Dy 3.43
Pr 0.1174 0.8638 0.8638  1 Dy 3.32, 2 Pr 3.38-3.51, 4 Sc 3.45-3.54
Pr 0.8826 0.1362 0.1362  1 Dy 3.32, 2 Pr 3.38-3.51, 4 Sc 3.45-3.54
Pr 0.6454 0.6115 0.0799  3 Sc 3.31-3.66, 2 Pr 3.34-3.65, 1 Dy 3.43
Pr 0.3546 0.9201 0.3886  3 Sc 3.31-3.66, 2 Pr 3.34-3.65, 1 Dy 3.43
Pr 0.2443 0.5859 0.5859  3 Pr 3.06-3.34, 2 Dy 3.15-3.34
Pr 0.7557 0.4141 0.4141  3 Pr 3.06-3.34, 2 Dy 3.15-3.34
Sc 0.0000 0.7306 0.2694  8 Pr 3.45-3.66, 2 Dy 3.63
Sc 0.0000 0.2694 0.7306  8 Pr 3.45-3.66, 2 Dy 3.63
Sc 0.5000 0.0000 0.0000  8 Pr 3.31-3.46
Dy 0.3222 0.3170 0.3170  6 Pr 3.15-3.46
Dy 0.6778 0.6830 0.6830  6 Pr 3.15-3.46

(3)
A relaxed Pr12DySc3 crystal. Source: Alexandria via LeMat-Bulk, functional PBE.

Calculated values
Magnetic moment in μB per atom: 0.00
Total energy in eV per atom: -5.027
Energy relative to the elements in eV/f.u.: 0.51

Unit cell a=5.1116 b=5.1116 c=20.4479 alpha=90.00 beta=90.00 gamma=90.00
Last column: nearest neighbours and their distance in Å.
Fractional coordinates of all 16 atoms:
Sc 0.0000 0.0000 0.5000  12 Pr 3.60-3.61
Sc 0.0000 0.0000 0.7479  12 Pr 3.59-3.61
Sc 0.0000 0.0000 0.2521  12 Pr 3.59-3.61
Pr 0.5000 0.0000 0.3762  8 Pr 3.60-3.61, 4 Sc 3.60
Pr 0.0000 0.5000 0.1285  2 Sc 3.59, 8 Pr 3.60-3.67, 2 Dy 3.67
Pr 0.5000 0.5000 0.0000  4 Dy 3.61, 8 Pr 3.67
Pr 0.5000 0.0000 0.8715  2 Sc 3.59, 8 Pr 3.60-3.67, 2 Dy 3.67
Pr 0.0000 0.5000 0.6238  4 Sc 3.60, 8 Pr 3.60-3.61
Pr 0.0000 0.5000 0.8715  2 Sc 3.59, 8 Pr 3.60-3.67, 2 Dy 3.67
Pr 0.5000 0.0000 0.6238  8 Pr 3.60-3.61, 4 Sc 3.60
Pr 0.5000 0.5000 0.7478  8 Pr 3.60, 4 Sc 3.61
Pr 0.5000 0.5000 0.5000  8 Pr 3.60, 4 Sc 3.61
Pr 0.5000 0.5000 0.2522  8 Pr 3.60, 4 Sc 3.61
Pr 0.0000 0.5000 0.3762  4 Sc 3.60, 8 Pr 3.60-3.61
Pr 0.5000 0.0000 0.1285  2 Sc 3.59, 8 Pr 3.60-3.67, 2 Dy 3.67
Dy 0.0000 0.0000 0.0000  12 Pr 3.61-3.67

(4)
A relaxed PrDy4Sc crystal. Source: Alexandria via LeMat-Bulk, functional PBE.

Calculated values
Magnetic moment in μB per atom: 0.00
Total energy in eV per atom: -4.717
Energy relative to the elements in eV/f.u.: 1.22

Unit cell a=3.4351 b=5.9235 c=10.0580 alpha=86.12 beta=80.17 gamma=73.14
Last column: nearest neighbours and their distance in Å.
Fractional coordinates of all 6 atoms:
Dy 0.6557 0.5393 0.1493  3 Sc 3.42-3.44, 7 Dy 3.44-3.69, 1 Pr 3.48
Dy 0.1529 0.0304 0.6639  1 Sc 3.33, 7 Dy 3.44-3.70, 3 Pr 3.44-3.54
Dy 0.8471 0.9696 0.3361  1 Sc 3.33, 7 Dy 3.44-3.70, 3 Pr 3.44-3.54
Dy 0.3443 0.4607 0.8507  3 Sc 3.42-3.44, 7 Dy 3.44-3.69, 1 Pr 3.48
Pr 0.5000 0.5000 0.5000  2 Pr 3.44, 8 Dy 3.44-3.54
Sc 0.0000 0.0000 0.0000  8 Dy 3.33-3.44, 2 Sc 3.44